The following is a PBE-GGA calculation of crystalline CePa4O10 at its relaxed geometry, from the Alexandria database.

Values from the calculation:
The value obtained for the total energy is -9.84 eV/atom. As for the symmetry: R-3m.

a b c (Å): 3.882 3.882 15.957
angles (deg): 83.01 83.01 60.00
Site moments in Bohr magnetons follow the coordinates.
Fractional coordinates of all 15 atoms:
Ce (0.000, 0.000, 0.000)  0.79
Pa (0.400, 0.400, 0.801)  0.63
Pa (0.800, 0.800, 0.600)  0.74
Pa (0.200, 0.200, 0.400)  0.74
Pa (0.600, 0.600, 0.199)  0.63
O (0.947, 0.947, 0.159)  -0.02
O (0.150, 0.150, 0.550)  -0.02
O (0.549, 0.549, 0.352)  -0.02
O (0.353, 0.353, 0.941)  -0.02
O (0.751, 0.751, 0.747)  -0.02
O (0.647, 0.647, 0.059)  -0.02
O (0.850, 0.850, 0.450)  -0.02
O (0.249, 0.249, 0.253)  -0.02
O (0.053, 0.053, 0.841)  -0.02
O (0.451, 0.451, 0.648)  -0.02